Entry from Alexandria: a relaxed GaNiI2O crystal (PBE+U).

Results
calculated volume = 128.7 Å³ per cell
DOS at the Fermi energy = 1.5 states/eV/cell
theoretical density = 5.14 g cm⁻³
energy above the lowest structure with this stoichiometry = 0.382 eV per atom
raw total energy = -12.3 eV/f.u.
M_tot = 0.20 μB/atom
crystal system = tetragonal

```
data_GaNiI2O
_space_group_name_H-M_alt 'P 4/m m m'
_space_group_IT_number 123
_space_group_name_Hall '-P 4 2'
_cell_length_a 6.053
_cell_length_b 6.053
_cell_length_c 3.512
_cell_angle_alpha 90.00
_cell_angle_beta 90.00
_cell_angle_gamma 90.00
loop_
_atom_site_label
_atom_site_fract_x
_atom_site_fract_y
_atom_site_fract_z
Ga1 0.000 0.000 0.000
Ni1 0.500 0.500 0.000
I1 0.000 0.500 0.500
O1 0.000 0.000 0.500
```